The following is a DFT calculation (PBE) of a geometry-optimized YScIrOs structure.

- total moment (Bohr magnetons per cell) = 0.00
- calculated formation energy (kJ/mol of formula units) = -196.1

abc: 6.6473 6.6473 6.6473
angles: 90.00 90.00 90.00
Space group F-43m (No. 216)
Symmetry-distinct sites (fractional):
1 Y 0.0000 0.0000 0.0000 x4
2 Sc 0.0000 0.0000 0.5000 x4
3 Ir 0.2500 0.2500 0.7500 x4
4 Os 0.2500 0.2500 0.2500 x4

The following is a DFT calculation (PBE) of a geometry-optimized ZrScIrOs2 structure.

- total moment (Bohr magnetons per cell) = 0.00
- calculated formation energy (kJ/mol of formula units) = 697.7

abc: 4.8092 4.8092 4.8174
angles: 90.00 90.00 90.00
Space group P4/mmm (No. 123)
Symmetry-distinct sites (fractional):
1 Zr 0.0000 0.0000 0.0000 x1
2 Sc 0.5000 0.5000 0.5000 x1
3 Ir 0.0000 0.0000 0.5000 x1
4 Os 0.0000 0.5000 0.0000 x2

The following is a DFT calculation (PBE) of a geometry-optimized ZrScIrOs structure.

- total moment (Bohr magnetons per cell) = 0.00
- calculated formation energy (kJ/mol of formula units) = -285.0

abc: 6.5221 6.5221 6.5221
angles: 90.00 90.00 90.00
Space group F-43m (No. 216)
Symmetry-distinct sites (fractional):
1 Zr 0.0000 0.0000 0.0000 x4
2 Sc 0.0000 0.0000 0.5000 x4
3 Ir 0.2500 0.2500 0.2500 x4
4 Os 0.2500 0.2500 0.7500 x4

The following is a DFT calculation (PBE) of a geometry-optimized IrOs2Se structure.

- uncorrected formation energy (eV per atom) = 0.69
- total moment (Bohr magnetons per cell) = 0.00

abc: 2.8947 4.4971 9.1936
angles: 90.00 90.00 90.00
Space group Imm2 (No. 44)
Symmetry-distinct sites (fractional):
1 Ir 0.0000 0.0000 0.0000 x2
2 Os 0.0000 0.0000 0.5423 x2
3 Os 0.0000 0.5000 0.7812 x2
4 Se 0.0000 0.5000 0.2673 x2

The following is a DFT calculation (PBE) of a geometry-optimized Ir2OsSe structure.

- uncorrected formation energy (eV per atom) = 0.52
- total moment (Bohr magnetons per cell) = 0.00

abc: 9.1075 2.8457 4.7868
angles: 90.00 101.65 90.00
Space group C2/m (No. 12)
Symmetry-distinct sites (fractional):
1 Ir 0.2483 0.0000 0.2372 x4
2 Os 0.0000 0.5000 0.0000 x2
3 Se 0.0000 0.0000 0.5000 x2

The following is a DFT calculation (PBE) of a geometry-optimized IrOs2Se structure.

- uncorrected formation energy (eV per atom) = 0.45
- total moment (Bohr magnetons per cell) = 0.00

abc: 2.8245 2.8245 7.6289
angles: 90.00 90.00 90.00
Space group P4mm (No. 99)
Symmetry-distinct sites (fractional):
1 Ir 0.0000 0.0000 0.0000 x1
2 Os 0.0000 0.0000 0.4783 x1
3 Os 0.5000 0.5000 0.2419 x1
4 Se 0.5000 0.5000 0.7213 x1

The following is a DFT calculation (PBE) of a geometry-optimized IrOs2Se structure.

- uncorrected formation energy (eV per atom) = 0.68
- total moment (Bohr magnetons per cell) = 0.00

abc: 2.8105 3.7020 5.8467
angles: 90.00 90.00 90.00
Space group Pmmm (No. 47)
Symmetry-distinct sites (fractional):
1 Ir 0.0000 0.0000 0.0000 x1
2 Os 0.5000 0.5000 0.2339 x2
3 Se 0.0000 0.0000 0.5000 x1

The following is a DFT calculation (PBE) of a geometry-optimized Ir2OsSe structure.

- uncorrected formation energy (eV per atom) = 0.66
- total moment (Bohr magnetons per cell) = 0.00

abc: 3.9824 3.9824 7.6774
angles: 90.00 90.00 90.00
Space group I4/mmm (No. 139)
Symmetry-distinct sites (fractional):
1 Ir 0.0000 0.5000 0.2500 x4
2 Os 0.0000 0.0000 0.0000 x2
3 Se 0.0000 0.0000 0.5000 x2

The following is a DFT calculation (PBE) of a geometry-optimized IrOs2Se structure.

- uncorrected formation energy (eV per atom) = 0.62
- total moment (Bohr magnetons per cell) = 0.00

abc: 2.8939 4.0406 5.3206
angles: 90.00 104.86 90.00
Space group P2/m (No. 10)
Symmetry-distinct sites (fractional):
1 Ir 0.0000 0.0000 0.0000 x1
2 Os 0.3702 0.5000 0.7463 x2
3 Se 0.0000 0.0000 0.5000 x1

The following is a DFT calculation (PBE) of a geometry-optimized IrOsSe2 structure.

- uncorrected formation energy (eV per atom) = 1.01
- total moment (Bohr magnetons per cell) = 2.25

abc: 6.4126 6.4126 6.4126
angles: 90.00 90.00 90.00
Space group F-43m (No. 216)
Symmetry-distinct sites (fractional):
1 Ir 0.0000 0.0000 0.0000 x4
2 Os 0.2500 0.2500 0.2500 x4
3 Se 0.0000 0.0000 0.5000 x4
4 Se 0.2500 0.2500 0.7500 x4

The following is a DFT calculation (PBE) of a geometry-optimized Ir2OsSe structure.

- uncorrected formation energy (eV per atom) = 0.74
- total moment (Bohr magnetons per cell) = 0.00

abc: 5.8827 5.8827 9.9926
angles: 90.00 90.00 90.00
Space group I-42d (No. 122)
Symmetry-distinct sites (fractional):
1 Ir 0.2403 0.2500 0.1250 x8
2 Os 0.0000 0.0000 0.0000 x4
3 Se 0.0000 0.0000 0.5000 x4

The following is a DFT calculation (PBE) of a geometry-optimized IrOsSe2 structure.

- uncorrected formation energy (eV per atom) = 0.59
- total moment (Bohr magnetons per cell) = 0.00

abc: 2.9062 4.5121 11.8319
angles: 90.00 90.00 90.00
Space group Immm (No. 71)
Symmetry-distinct sites (fractional):
1 Ir 0.0000 0.0000 0.0000 x2
2 Os 0.0000 0.0000 0.5000 x2
3 Se 0.0000 0.5000 0.1717 x4